Record 1
# PBE TbMo2W2, optimized geometry
data_TbMo2W2
_cell_length_a 6.137
_cell_length_b 6.137
_cell_length_c 6.137
_cell_angle_alpha 138.23
_cell_angle_beta 138.23
_cell_angle_gamma 60.55
_space_group_name_H-M_alt 'P 1'
_space_group_IT_number 1
_space_group_name_Hall 'P 1'
loop_
_atom_site_label
_atom_site_fract_x
_atom_site_fract_y
_atom_site_fract_z
Mo1 0.750 0.250 0.500
Mo2 0.250 0.750 0.500
Tb1 0.000 0.000 0.000
W1 0.378 0.378 0.000
W2 0.622 0.622 0.000
# Space group: I4/mmm, No. 139

---

Record 2
# PBE TbYMo, optimized geometry
data_TbYMo
_cell_length_a 4.942
_cell_length_b 4.942
_cell_length_c 4.942
_cell_angle_alpha 60.00
_cell_angle_beta 60.00
_cell_angle_gamma 60.00
_space_group_name_H-M_alt 'P 1'
_space_group_IT_number 1
_space_group_name_Hall 'P 1'
loop_
_atom_site_label
_atom_site_fract_x
_atom_site_fract_y
_atom_site_fract_z
Mo1 0.750 0.750 0.750
Tb1 0.250 0.250 0.250
Y1 0.500 0.500 0.500
# Space group: F-43m, No. 216

---

Record 3
# PBE TcMo2, optimized geometry
data_TcMo2
_cell_length_a 4.247
_cell_length_b 4.247
_cell_length_c 4.247
_cell_angle_alpha 60.00
_cell_angle_beta 60.00
_cell_angle_gamma 60.00
_space_group_name_H-M_alt 'P 1'
_space_group_IT_number 1
_space_group_name_Hall 'P 1'
loop_
_atom_site_label
_atom_site_fract_x
_atom_site_fract_y
_atom_site_fract_z
Mo1 0.250 0.250 0.250
Mo2 0.750 0.750 0.750
Tc1 0.000 0.000 0.000
# Space group: Fm-3m, No. 225
# Energy relative to the lowest polymorph listed for this composition: 0.367 eV/atom

---

Record 4
# PBE TcMo2, optimized geometry
data_TcMo2
_cell_length_a 5.138
_cell_length_b 5.138
_cell_length_c 5.138
_cell_angle_alpha 60.00
_cell_angle_beta 60.00
_cell_angle_gamma 60.00
_space_group_name_H-M_alt 'P 1'
_space_group_IT_number 1
_space_group_name_Hall 'P 1'
loop_
_atom_site_label
_atom_site_fract_x
_atom_site_fract_y
_atom_site_fract_z
Mo1 0.625 0.625 0.125
Mo2 0.625 0.125 0.625
Mo3 0.125 0.625 0.625
Mo4 0.625 0.625 0.625
Tc1 0.000 0.000 0.000
Tc2 0.250 0.250 0.250
# Space group: Fd-3m, No. 227
# Energy relative to the lowest polymorph listed for this composition: 0.000 eV/atom

---

The following DFT formation energy values (in eV/atom) correspond, in order, to the records above: 0.4210; 1.2776; 0.7443; 0.3776.
The following ρ values (in g/cm³) correspond, in order, to the records above: 11.8; 6.7; 8.9; 10.0.
The following M_tot values (in μB/f.u.) correspond, in order, to the records above: 0.0; 1.9; 0.1; 0.0.